Density functional theory data (PBE+U) for a relaxed YNpVO6 crystal.

Properties
Crystal system   trigonal

Unit cell a=5.362 b=5.362 c=9.808 alpha=90.00 beta=90.00 gamma=120.00
Element x y z (fractional)
Y 0.000 0.000 0.000
Y 0.000 0.000 0.500
Np 0.333 0.667 0.250
Np 0.667 0.333 0.750
V 0.333 0.667 0.750
V 0.667 0.333 0.250
O 0.010 0.356 0.638
O 0.010 0.655 0.862
O 0.345 0.356 0.862
O 0.345 0.990 0.638
O 0.356 0.010 0.138
O 0.356 0.345 0.362
O 0.644 0.655 0.638
O 0.644 0.990 0.862
O 0.655 0.010 0.362
O 0.655 0.644 0.138
O 0.990 0.345 0.138
O 0.990 0.644 0.362

---

Density functional theory data (PBE+U) for a relaxed NpVZnO6 crystal.

Properties
Crystal system   trigonal

Unit cell a=5.214 b=5.214 c=9.071 alpha=90.00 beta=90.00 gamma=120.00
Element x y z (fractional)
Np 0.333 0.667 0.250
Np 0.667 0.333 0.750
V 0.000 0.000 0.000
V 0.000 0.000 0.500
Zn 0.333 0.667 0.750
Zn 0.667 0.333 0.250
O 0.013 0.332 0.126
O 0.013 0.682 0.374
O 0.318 0.332 0.374
O 0.318 0.987 0.126
O 0.332 0.013 0.626
O 0.332 0.318 0.874
O 0.668 0.682 0.126
O 0.668 0.987 0.374
O 0.682 0.013 0.874
O 0.682 0.668 0.626
O 0.987 0.318 0.626
O 0.987 0.668 0.874

---

Density functional theory data (PBE+U) for a relaxed NpVZn2O6 crystal.

Properties
Crystal system   monoclinic

Unit cell a=6.869 b=6.869 c=5.552 alpha=97.13 beta=97.13 gamma=84.86
Element x y z (fractional)
Np 0.230 0.770 0.750
Np 0.770 0.230 0.250
V 0.409 0.591 0.250
V 0.591 0.409 0.750
Zn 0.101 0.289 0.813
Zn 0.289 0.101 0.313
Zn 0.711 0.899 0.687
Zn 0.899 0.711 0.187
O 0.050 0.218 0.132
O 0.150 0.637 0.383
O 0.218 0.050 0.632
O 0.315 0.477 0.884
O 0.363 0.850 0.117
O 0.477 0.315 0.384
O 0.523 0.685 0.616
O 0.637 0.150 0.883
O 0.685 0.523 0.116
O 0.782 0.950 0.368
O 0.850 0.363 0.617
O 0.950 0.782 0.868

---

Density functional theory data (PBE+U) for a relaxed NpWO5 crystal.

Properties
Crystal system   orthorhombic

Unit cell a=5.635 b=5.635 c=5.635 alpha=139.67 beta=106.99 gamma=86.87
Element x y z (fractional)
Np 0.000 0.000 0.000
W 0.500 0.500 0.000
O 0.000 0.500 0.500
O 0.273 0.273 0.000
O 0.320 0.000 0.320
O 0.680 0.000 0.680
O 0.727 0.727 0.000

---

Density functional theory data (PBE+U) for a relaxed NpW2O8 crystal.

Properties
Crystal system   trigonal

Unit cell a=6.168 b=6.168 c=6.554 alpha=90.00 beta=90.00 gamma=120.00
Element x y z (fractional)
Np 0.000 0.000 0.000
W 0.333 0.667 0.714
W 0.667 0.333 0.286
O 0.171 0.343 0.809
O 0.171 0.829 0.809
O 0.333 0.667 0.446
O 0.343 0.171 0.191
O 0.657 0.829 0.809
O 0.667 0.333 0.554
O 0.829 0.171 0.191
O 0.829 0.657 0.191

---

We obtain E_tot values of -81.7 -69.8 -73.5 -60.4 -90.9 eV per formula unit for the records listed above, in that order.